RbTbAlTe3: optimized geometry, PBE.

Lattice parameters (Å, degrees): 4.837 15.854 11.716 90.00 90.00 90.00
Space group Cmcm (No. 63)
Symmetry-distinct sites (fractional):
Rb1 0.000 0.248 0.250 (multiplicity 4)
Tb1 0.000 0.500 0.000 (multiplicity 4)
Al1 0.000 0.020 0.750 (multiplicity 4)
Te1 0.000 0.122 0.564 (multiplicity 8)
Te2 0.000 0.437 0.750 (multiplicity 4)

Summary:
E	-24.4	eV per formula unit
excess energy over the best structure of this formula in the dataset	0	meV/atom

=====

RbTbAlTe3: optimized geometry, PBE.

Lattice parameters (Å, degrees): 12.136 5.037 13.395 90.00 90.00 90.00
Space group Pnma (No. 62)
Symmetry-distinct sites (fractional):
Rb1 0.182 0.250 0.009 (multiplicity 4)
Tb1 0.027 0.250 0.325 (multiplicity 4)
Al1 0.234 0.250 0.723 (multiplicity 4)
Te1 0.051 0.750 0.175 (multiplicity 4)
Te2 0.091 0.250 0.564 (multiplicity 4)
Te3 0.209 0.750 0.800 (multiplicity 4)

Summary:
E	-24.2	eV per formula unit
excess energy over the best structure of this formula in the dataset	28	meV/atom

=====

RbTmAlTe3: optimized geometry, PBE.

Lattice parameters (Å, degrees): 11.919 5.028 13.440 90.00 90.00 90.00
Space group Pnma (No. 62)
Symmetry-distinct sites (fractional):
Rb1 0.183 0.250 0.009 (multiplicity 4)
Tm1 0.021 0.250 0.320 (multiplicity 4)
Al1 0.233 0.250 0.723 (multiplicity 4)
Te1 0.048 0.750 0.175 (multiplicity 4)
Te2 0.087 0.250 0.566 (multiplicity 4)
Te3 0.213 0.750 0.801 (multiplicity 4)

Summary:
E	-23.8	eV per formula unit
excess energy over the best structure of this formula in the dataset	46	meV/atom

=====

RbTmAlTe3: optimized geometry, PBE.

Lattice parameters (Å, degrees): 4.822 15.851 11.508 90.00 90.00 90.00
Space group Cmcm (No. 63)
Symmetry-distinct sites (fractional):
Rb1 0.000 0.249 0.250 (multiplicity 4)
Tm1 0.000 0.500 0.000 (multiplicity 4)
Al1 0.000 0.017 0.750 (multiplicity 4)
Te1 0.000 0.120 0.561 (multiplicity 8)
Te2 0.000 0.436 0.750 (multiplicity 4)

Summary:
E	-24.1	eV per formula unit
excess energy over the best structure of this formula in the dataset	0	meV/atom